[1]
DFT (PBE-GGA) results for a relaxed Tl5In4Pb4 crystal.

Unit cell a=4.905 b=9.254 c=9.254 alpha=85.97 beta=74.63 gamma=74.63
Atoms (fractional coordinates):
Pb  0.617  0.305  0.461
Pb  0.922  0.461  0.695
Pb  0.383  0.695  0.539
Pb  0.078  0.539  0.305
In  0.841  0.926  0.391
In  0.232  0.609  0.926
In  0.159  0.074  0.609
In  0.768  0.391  0.074
Tl  0.000  0.000  0.000
Tl  0.536  0.772  0.157
Tl  0.464  0.228  0.843
Tl  0.308  0.157  0.228
Tl  0.692  0.843  0.772

Formation enthalpy at 0 K (meV per atom): 13
Uncorrected energy (eV per cell): -37.456
Symmetry: I4/m
DOS(E_F) (states/eV per cell): 6.0

---

[2]
DFT (PBE-GGA) results for a relaxed LiHoCd14 crystal.

Unit cell a=6.498 b=6.498 c=8.561 alpha=90.00 beta=90.00 gamma=90.00
Atoms (fractional coordinates):
Cd  0.875  0.375  0.000
Cd  0.131  0.619  0.751
Cd  0.875  0.375  0.500
Cd  0.619  0.131  0.249
Cd  0.875  0.875  0.000
Cd  0.619  0.619  0.249
Cd  0.375  0.875  0.000
Cd  0.131  0.131  0.249
Cd  0.131  0.619  0.249
Cd  0.131  0.131  0.751
Cd  0.375  0.375  0.000
Cd  0.619  0.619  0.751
Cd  0.619  0.131  0.751
Cd  0.375  0.875  0.500
Li  0.375  0.375  0.500
Ho  0.875  0.875  0.500

Formation enthalpy at 0 K (meV per atom): -97
Uncorrected energy (eV per cell): -20.861
Symmetry: P4/mmm
DOS(E_F) (states/eV per cell): 7.7

---

[3]
DFT (PBE-GGA) results for a relaxed Cr3PW crystal.

Unit cell a=4.137 b=4.137 c=4.137 alpha=90.00 beta=90.00 gamma=90.00
Atoms (fractional coordinates):
Cr  0.500  0.000  0.000
Cr  0.000  0.000  0.500
Cr  0.000  0.500  0.000
W  0.500  0.500  0.500
P  0.000  0.000  0.000

Formation enthalpy at 0 K (meV per atom): 629
Uncorrected energy (eV per cell): -44.087
Symmetry: Pm-3m
DOS(E_F) (states/eV per cell): 5.6
Energy above the lowest structure with this stoichiometry (meV/atom): 0

---

[4]
DFT (PBE-GGA) results for a relaxed LaSmGa crystal.

Unit cell a=5.311 b=5.254 c=7.848 alpha=109.46 beta=90.00 gamma=120.36
Atoms (fractional coordinates):
Ga  0.938  0.877  0.807
Ga  0.062  0.123  0.193
Sm  0.206  0.412  0.614
Sm  0.794  0.588  0.386
La  0.372  0.744  0.118
La  0.628  0.256  0.882

Formation enthalpy at 0 K (meV per atom): -313
Uncorrected energy (eV per cell): -27.222
Symmetry: C2/m
DOS(E_F) (states/eV per cell): 6.2
Energy above the lowest structure with this stoichiometry (meV/atom): 98

---

[5]
DFT (PBE-GGA) results for a relaxed Sc3GaSi crystal.

Unit cell a=4.962 b=4.962 c=4.962 alpha=90.00 beta=90.00 gamma=90.00
Atoms (fractional coordinates):
Si  0.000  0.000  0.000
Sc  0.000  0.000  0.500
Sc  0.500  0.000  0.000
Sc  0.000  0.500  0.000
Ga  0.500  0.500  0.500

ΔE_f (raw) (meV per atom): -179
Uncorrected energy (eV per cell): -28.341
Symmetry: Pm-3m
DOS(E_F) (states/eV per cell): 0.9
Energy above the lowest structure with this stoichiometry (meV/atom): 263

---

[6]
DFT (PBE-GGA) results for a relaxed Tl4BiAu4 crystal.

Unit cell a=8.379 b=7.654 c=7.654 alpha=90.00 beta=90.00 gamma=90.00
Atoms (fractional coordinates):
Au  0.258  0.934  0.763
Au  0.242  0.566  0.737
Au  0.742  0.763  0.066
Au  0.758  0.737  0.434
Au  0.242  0.434  0.263
Au  0.742  0.237  0.934
Au  0.258  0.066  0.237
Au  0.758  0.263  0.566
Bi  0.500  0.500  0.500
Bi  0.000  0.000  0.000
Tl  0.895  0.425  0.223
Tl  0.605  0.925  0.723
Tl  0.105  0.223  0.575
Tl  0.105  0.777  0.425
Tl  0.395  0.723  0.075
Tl  0.605  0.075  0.277
Tl  0.895  0.575  0.777
Tl  0.395  0.277  0.925

Formation enthalpy at 0 K (meV per atom): 12
Uncorrected energy (eV per cell): -52.687
Symmetry: P4_2/n
DOS(E_F) (states/eV per cell): 7.2

---

[7]
DFT (PBE-GGA) results for a relaxed RuPbCl2 crystal.

Unit cell a=5.820 b=5.820 c=5.820 alpha=137.84 beta=137.84 gamma=61.15
Atoms (fractional coordinates):
Ru  0.750  0.250  0.500
Cl  0.000  0.000  0.000
Cl  0.250  0.750  0.500
Pb  0.500  0.500  0.000

ΔE_f (raw) (meV per atom): 350
Uncorrected energy (eV per cell): -15.276
Symmetry: I-4m2
DOS(E_F) (states/eV per cell): 4.2
Energy above the lowest structure with this stoichiometry (meV/atom): 549

---

[8]
DFT (PBE-GGA) results for a relaxed LaTcHg2N crystal.

Unit cell a=5.428 b=5.428 c=3.800 alpha=90.00 beta=90.00 gamma=90.00
Atoms (fractional coordinates):
Tc  0.000  0.000  0.500
La  0.500  0.500  0.500
Hg  0.500  0.000  0.000
Hg  0.000  0.500  0.000
N  0.000  0.000  0.000

ΔE_f (raw) (meV per atom): 369
Uncorrected energy (eV per cell): -22.380
Symmetry: P4/mmm
DOS(E_F) (states/eV per cell): 5.3

---

[9]
DFT (PBE-GGA) results for a relaxed Mg2ZrFe crystal.

Unit cell a=5.781 b=5.781 c=4.492 alpha=67.17 beta=67.17 gamma=31.75
Atoms (fractional coordinates):
Fe  0.250  0.250  0.250
Mg  0.538  0.538  0.463
Mg  0.962  0.962  0.037
Zr  0.750  0.750  0.750

Formation enthalpy at 0 K (meV per atom): 143
Uncorrected energy (eV per cell): -19.628
Symmetry: Immm
DOS(E_F) (states/eV per cell): 3.3

---

[10]
DFT (PBE-GGA) results for a relaxed KNa2PuO5 crystal.

Unit cell a=4.325 b=6.020 c=6.639 alpha=116.96 beta=109.01 gamma=90.00
Atoms (fractional coordinates):
O  0.000  0.000  0.000
O  0.627  0.352  0.253
O  0.373  0.099  0.747
O  0.373  0.648  0.747
O  0.627  0.901  0.253
Na  0.224  0.224  0.447
Na  0.776  0.776  0.553
K  0.000  0.500  0.000
Pu  0.500  0.000  0.000

ΔE_f (raw) (meV per atom): -2118
Uncorrected energy (eV per cell): -61.925
Symmetry: Immm

---

[11]
DFT (PBE-GGA) results for a relaxed CeTeAs2Rh7 crystal.

Unit cell a=4.027 b=4.027 c=14.934 alpha=97.75 beta=97.75 gamma=90.00
Atoms (fractional coordinates):
Te  0.250  0.750  0.500
Rh  0.072  0.572  0.143
Rh  0.428  0.928  0.857
Rh  0.000  0.000  0.000
Rh  0.571  0.071  0.142
Rh  0.198  0.198  0.397
Rh  0.929  0.429  0.858
Rh  0.802  0.802  0.603
Ce  0.500  0.500  0.000
As  0.117  0.117  0.234
As  0.883  0.883  0.766

ΔE_f (raw) (meV per atom): -184
Uncorrected energy (eV per cell): -71.861
Symmetry: I-4m2
DOS(E_F) (states/eV per cell): 10.6

---

[12]
DFT (PBE-GGA) results for a relaxed CaTa2Mo crystal.

Unit cell a=3.290 b=3.290 c=7.984 alpha=90.00 beta=90.00 gamma=90.00
Atoms (fractional coordinates):
Mo  0.500  0.500  0.750
Ta  0.000  0.000  0.931
Ta  0.000  0.000  0.569
Ca  0.500  0.500  0.250

Formation enthalpy at 0 K (meV per atom): 399
Uncorrected energy (eV per cell): -34.943
Symmetry: P4/mmm
DOS(E_F) (states/eV per cell): 5.7

---

[13]
DFT (PBE-GGA) results for a relaxed KSn2Os crystal.

Unit cell a=6.739 b=6.739 c=8.793 alpha=67.47 beta=67.47 gamma=90.00
Atoms (fractional coordinates):
Sn  0.876  0.625  0.250
Sn  0.375  0.126  0.750
Sn  0.874  0.125  0.250
Sn  0.875  0.124  0.750
K  0.500  0.500  0.000
K  0.250  0.750  0.500
Os  0.000  0.000  0.000
Os  0.750  0.250  0.500

Formation enthalpy at 0 K (meV per atom): 317
Uncorrected energy (eV per cell): -38.131
Symmetry: I-42d
DOS(E_F) (states/eV per cell): 3.9
Energy above the lowest structure with this stoichiometry (meV/atom): 0

---

[14]
DFT (PBE-GGA) results for a relaxed YHoPu2P4 crystal.

Unit cell a=4.007 b=6.939 c=6.877 alpha=109.66 beta=90.00 gamma=90.00
Atoms (fractional coordinates):
P  0.500  0.253  0.256
P  0.000  0.249  0.745
P  0.500  0.747  0.744
P  0.000  0.751  0.255
Pu  0.500  0.000  0.500
Pu  0.000  0.500  0.500
Ho  0.500  0.500  0.000
Y  0.000  0.000  0.000

Formation enthalpy at 0 K (meV per atom): -1389
Uncorrected energy (eV per cell): -72.455
Symmetry: P2/m
DOS(E_F) (states/eV per cell): 17.6

---

[15]
DFT (PBE-GGA) results for a relaxed VInNi2 crystal.

Unit cell a=3.050 b=3.050 c=6.037 alpha=90.00 beta=90.00 gamma=90.00
Atoms (fractional coordinates):
In  0.500  0.500  0.500
Ni  0.000  0.000  0.209
Ni  0.000  0.000  0.791
V  0.500  0.500  0.000

Formation enthalpy at 0 K (meV per atom): -97
Uncorrected energy (eV per cell): -23.807
Symmetry: P4/mmm
DOS(E_F) (states/eV per cell): 3.7

---

[16]
DFT (PBE-GGA) results for a relaxed Tl3Se2S crystal.

Unit cell a=7.745 b=8.298 c=8.298 alpha=59.26 beta=62.18 gamma=62.18
Atoms (fractional coordinates):
Se  0.601  0.114  0.114
Se  0.829  0.386  0.386
Se  0.171  0.614  0.614
Se  0.399  0.886  0.886
Tl  0.186  0.064  0.564
Tl  0.814  0.936  0.436
Tl  0.186  0.564  0.064
Tl  0.814  0.436  0.936
Tl  0.500  0.250  0.750
Tl  0.500  0.750  0.250
S  0.000  0.500  0.500
S  0.000  0.000  0.000

ΔE_f (raw) (meV per atom): -172
Uncorrected energy (eV per cell): -38.453
Symmetry: Ibam
DOS(E_F) (states/eV per cell): 5.5
Energy above the lowest structure with this stoichiometry (meV/atom): 62

---

[17]
DFT (PBE-GGA) results for a relaxed Tb2PrNdIn4 crystal.

Unit cell a=5.415 b=5.415 c=9.392 alpha=73.24 beta=73.24 gamma=60.00
Atoms (fractional coordinates):
Tb  0.250  0.250  0.250
Tb  0.750  0.750  0.750
In  0.875  0.875  0.376
In  0.125  0.125  0.624
In  0.625  0.625  0.126
In  0.375  0.375  0.874
Pr  0.000  0.000  0.000
Nd  0.500  0.500  0.500

Formation enthalpy at 0 K (meV per atom): -482
Uncorrected energy (eV per cell): -33.620
Symmetry: R-3m
DOS(E_F) (states/eV per cell): 3.5

---

[18]
DFT (PBE-GGA) results for a relaxed PaCr4Tc crystal.

Unit cell a=4.975 b=4.975 c=4.975 alpha=60.00 beta=60.00 gamma=60.00
Atoms (fractional coordinates):
Cr  0.125  0.625  0.625
Cr  0.625  0.625  0.125
Cr  0.625  0.625  0.625
Cr  0.625  0.125  0.625
Pa  0.250  0.250  0.250
Tc  0.000  0.000  0.000

Formation enthalpy at 0 K (meV per atom): 239
Uncorrected energy (eV per cell): -56.923
Symmetry: F-43m
DOS(E_F) (states/eV per cell): 8.8

---

[19]
DFT (PBE-GGA) results for a relaxed Li2PrPt2 crystal.

Unit cell a=3.890 b=3.890 c=6.933 alpha=106.29 beta=106.29 gamma=90.00
Atoms (fractional coordinates):
Li  0.250  0.750  0.500
Li  0.750  0.250  0.500
Pt  0.609  0.609  0.218
Pt  0.391  0.391  0.782
Pr  0.000  0.000  0.000

Formation enthalpy at 0 K (meV per atom): -737
Uncorrected energy (eV per cell): -24.372
Symmetry: I4/mmm
DOS(E_F) (states/eV per cell): 1.4

---

[20]
DFT (PBE-GGA) results for a relaxed ZnSe2Br crystal.

Unit cell a=3.787 b=3.786 c=7.208 alpha=90.00 beta=90.00 gamma=90.00
Atoms (fractional coordinates):
Br  0.000  0.500  0.500
Se  0.000  0.000  0.000
Se  0.500  0.500  0.000
Zn  0.500  0.000  0.500

ΔE_f (raw) (meV per atom): 1
Uncorrected energy (eV per cell): -9.914
Symmetry: P4/mmm
DOS(E_F) (states/eV per cell): 2.1
Energy above the lowest structure with this stoichiometry (meV/atom): 292